Entry from Alexandria via LeMat-Bulk: crystalline Ba3NiIrRuO9 at its relaxed geometry (PBE with a Hubbard U).

Calculated values
total magnetic moment: 6.0 μB/cell
E_tot: -96.9 eV per formula unit

Cell lengths 5.8289, 5.8289, 14.3519 Å; angles 90.00, 90.00, 120.00 degrees
Space group P-3m1 (No. 164)
Inequivalent atoms, fractional coordinates:
Ba1 0.0000 0.0000 0.2491 [2 per cell]
Ba2 0.3333 0.6667 0.5862 [2 per cell]
Ba3 0.3333 0.6667 0.9149 [2 per cell]
Ni1 0.0000 0.0000 0.0000 [1 per cell]
Ni2 0.0000 0.0000 0.5000 [1 per cell]
Ir1 0.3333 0.6667 0.1580 [2 per cell]
Ru1 0.3333 0.6667 0.3446 [2 per cell]
O1 0.0275 0.5137 0.2503 [6 per cell]
O2 0.1703 0.3406 0.0835 [6 per cell]
O3 0.1713 0.3425 0.4172 [6 per cell]